i.
LiLaOs2 | PBE | optimized geometry

POSCAR file:
```
LiLaOs2
1.0
1.482 -2.433 0.000
1.482 2.433 0.000
0.000 0.000 10.198
Li La Os
1 1 2
Direct
0.000 0.000 0.000
0.500 0.500 0.318
0.000 0.000 0.571
0.500 0.500 0.781
```

Properties
The calculation puts the total magnetization at 0.04 μB per atom.

ii.
LiLaOs2 | PBE | optimized geometry

POSCAR file:
```
LiLaOs2
1.0
2.865 0.000 0.000
0.000 3.878 0.000
0.000 0.000 6.961
Li La Os
1 1 2
Direct
0.000 0.000 0.000
0.500 0.500 0.661
0.000 0.000 0.364
0.500 0.500 0.224
```

Properties
The calculation puts the total magnetization at 0.00 μB per atom.

iii.
LiLaOs2 | PBE | optimized geometry

POSCAR file:
```
LiLaOs2
1.0
2.166 1.250 5.093
-2.166 1.250 5.093
0.000 -2.501 5.093
Li La Os
1 1 2
Direct
0.000 0.000 0.000
0.799 0.799 0.799
0.274 0.274 0.274
0.600 0.600 0.600
```

Properties
The calculation puts the total magnetization at 0.00 μB per atom.

iv.
LiLaOs2 | PBE | optimized geometry

POSCAR file:
```
LiLaOs2
1.0
-2.160 2.160 9.080
2.160 -2.160 9.080
2.160 2.160 -9.080
Li La Os
2 2 4
Direct
0.000 0.000 0.000
0.750 0.250 0.500
0.250 0.750 0.500
0.500 0.500 0.000
0.375 0.001 0.126
0.751 0.625 0.626
0.875 0.249 0.874
0.999 0.125 0.374
```

Properties
The calculation puts the total magnetization at 0.00 μB per atom.

Stability order, top to bottom: iii, ii, iv, i

i.
LiLaOs3 | PBE | optimized geometry

POSCAR file:
```
LiLaOs3
1.0
4.380 0.000 0.000
0.000 4.380 0.000
0.000 0.000 4.380
Li La Os
1 1 3
Direct
0.000 0.000 0.000
0.500 0.500 0.500
0.000 0.000 0.500
0.000 0.500 0.000
0.500 0.000 0.000
```

Properties
The calculation puts the total magnetization at 0.10 μB per atom.

ii.
LiLaOs3 | PBE | optimized geometry

POSCAR file:
```
LiLaOs3
1.0
4.938 0.000 0.000
0.000 4.938 0.000
0.000 0.000 4.938
Li La Os
1 1 3
Direct
0.000 0.000 0.000
0.500 0.500 0.500
0.000 0.500 0.500
0.500 0.000 0.500
0.500 0.500 0.000
```

Properties
The calculation puts the total magnetization at 0.73 μB per atom.

Stability order, top to bottom: i, ii

i.
LiLa2Os | PBE | optimized geometry

POSCAR file:
```
LiLa2Os
1.0
-1.754 2.490 6.125
1.754 -2.490 6.125
1.754 2.490 -6.125
Li La Os
1 2 1
Direct
0.000 0.000 0.000
0.339 0.839 0.500
0.640 0.640 0.000
0.824 0.324 0.500
```

Properties
The calculation puts the total magnetization at 0.00 μB per atom.

ii.
LiLa2Os | PBE | optimized geometry

POSCAR file:
```
LiLa2Os
1.0
0.000 3.634 3.634
3.634 0.000 3.634
3.634 3.634 0.000
Li La Os
1 2 1
Direct
0.000 0.000 0.000
0.250 0.250 0.250
0.750 0.750 0.750
0.500 0.500 0.500
```

Properties
The calculation puts the total magnetization at 0.00 μB per atom.

Stability order, top to bottom: ii, i

i.
LiLa2Os | PBE | optimized geometry

POSCAR file:
```
LiLa2Os
1.0
-2.225 2.225 4.552
2.225 -2.225 4.552
2.225 2.225 -4.552
Li La Os
1 2 1
Direct
0.000 0.000 0.000
0.500 0.500 0.000
0.750 0.250 0.500
0.250 0.750 0.500
```

Properties
The calculation puts the total magnetization at 0.00 μB per atom.

ii.
LiLa2Os | PBE | optimized geometry

POSCAR file:
```
LiLa2Os
1.0
1.774 1.024 9.555
-1.774 1.024 9.555
0.000 -2.048 9.555
Li La Os
1 2 1
Direct
0.000 0.000 0.000
0.543 0.543 0.543
0.762 0.762 0.762
0.276 0.276 0.276
```

Properties
The calculation puts the total magnetization at 0.00 μB per atom.

iii.
LiLa2Os | PBE | optimized geometry

POSCAR file:
```
LiLa2Os
1.0
3.532 0.000 0.000
0.000 3.532 0.000
0.000 0.000 8.781
Li La Os
1 2 1
Direct
0.000 0.000 0.000
0.500 0.500 0.301
0.500 0.500 0.699
0.000 0.000 0.500
```

Properties
The calculation puts the total magnetization at 0.00 μB per atom.

iv.
LiLa2Os | PBE | optimized geometry

POSCAR file:
```
LiLa2Os
1.0
3.568 0.000 0.000
0.000 3.568 0.000
0.000 0.000 7.800
Li La Os
1 2 1
Direct
0.000 0.000 0.000
0.000 0.000 0.355
0.500 0.500 0.778
0.500 0.500 0.115
```

Properties
The calculation puts the total magnetization at 0.00 μB per atom.

Stability order, top to bottom: iii, iv, i, ii

i.
LiLa2Os | PBE | optimized geometry

POSCAR file:
```
LiLa2Os
1.0
0.000 3.507 3.507
3.507 0.000 3.507
3.507 3.507 0.000
Li La Os
1 2 1
Direct
0.000 0.000 0.000
0.500 0.500 0.500
0.750 0.750 0.750
0.250 0.250 0.250
```

Properties
The calculation puts the total magnetization at 0.00 μB per atom.

ii.
LiLa2Os | PBE | optimized geometry

POSCAR file:
```
LiLa2Os
1.0
4.047 0.000 0.000
0.000 4.566 0.000
-2.004 0.000 5.440
Li La Os
1 2 1
Direct
0.000 0.000 0.000
0.430 0.500 0.860
0.696 0.000 0.396
0.130 0.500 0.262
```

Properties
The calculation puts the total magnetization at 0.00 μB per atom.

iii.
LiLa2Os | PBE | optimized geometry

POSCAR file:
```
LiLa2Os
1.0
3.631 -2.095 0.000
3.631 2.095 0.000
-2.455 0.000 8.691
Li La Os
1 2 1
Direct
0.000 0.000 0.000
0.225 0.225 0.673
0.775 0.775 0.327
0.500 0.500 0.500
```

Properties
The calculation puts the total magnetization at 0.00 μB per atom.

Stability order, top to bottom: iii, ii, i

i.
LiLa4Os | PBE | optimized geometry

POSCAR file:
```
LiLa4Os
1.0
0.000 4.411 4.411
4.411 0.000 4.411
4.411 4.411 0.000
Li La Os
1 4 1
Direct
0.000 0.000 0.000
0.377 0.377 0.377
0.377 0.377 0.868
0.377 0.868 0.377
0.868 0.377 0.377
0.750 0.750 0.750
```

Properties
The calculation puts the total magnetization at 0.00 μB per atom.

ii.
LiLa4Os | PBE | optimized geometry

POSCAR file:
```
LiLa4Os
1.0
4.677 -7.686 0.000
4.677 7.686 0.000
-3.646 0.000 5.893
Li La Os
2 8 2
Direct
0.111 0.889 0.750
0.889 0.111 0.250
0.136 0.558 0.350
0.234 0.336 0.787
0.336 0.234 0.287
0.442 0.864 0.150
0.558 0.136 0.850
0.664 0.766 0.713
0.766 0.664 0.213
0.864 0.442 0.650
0.417 0.583 0.250
0.583 0.417 0.750
```

Properties
The calculation puts the total magnetization at 0.00 μB per atom.

Stability order, top to bottom: ii, i